Compound: TlCuRe2O8
Source: Alexandria via LeMat-Bulk
Functional: PBE
Structure: relaxed

The structure belongs to space group C2/m (No. 12); the cell edges are 12.282, 5.636 and 7.487 Å and the angles 90.00°, 119.46° and 90.00°. The asymmetric unit holds Tl at (0.000, 0.000, 0.000), Cu at (0.000, 0.500, 0.500), Re at (0.195, 0.000, 0.663), O at (0.118, 0.253, 0.692), O at (0.147, 0.500, 0.150) and O at (0.179, 0.000, 0.417).

The total magnetization is 0.00 μB/f.u. The formation energy from raw total energies comes out at -1.380 eV per atom.